*i*
First-principles (GGA-PBE) data for crystalline PmErTm6 at its relaxed geometry, as listed in Alexandria via LeMat-Bulk.

Cell and atoms, written as CIF:
```
data_PmErTm6
_space_group_name_H-M_alt 'C m m m'
_space_group_IT_number 65
_space_group_name_Hall '-C 2 2'
_cell_length_a 7.381
_cell_length_b 11.584
_cell_length_c 5.782
_cell_angle_alpha 90.00
_cell_angle_beta 90.00
_cell_angle_gamma 90.00
loop_
_atom_site_label
_atom_site_type_symbol
_atom_site_fract_x
_atom_site_fract_y
_atom_site_fract_z
_atom_site_occupancy
Pm1 Pm 0.000 0.000 0.000 1
Er1 Er 0.000 0.500 0.000 1
Tm1 Tm 0.000 0.245 0.500 1
Tm2 Tm 0.241 0.500 0.500 1
Tm3 Tm 0.250 0.250 0.000 1
```

Values from the calculation:
The crystal system is orthorhombic.



*ii*
First-principles (GGA-PBE) data for crystalline PmErTm6 at its relaxed geometry, as listed in Alexandria via LeMat-Bulk.

Cell and atoms, written as CIF:
```
data_PmErTm6
_space_group_name_H-M_alt 'C 1 2/m 1'
_space_group_IT_number 12
_cell_length_a 6.936
_cell_length_b 12.147
_cell_length_c 6.961
_cell_angle_alpha 90.00
_cell_angle_beta 119.85
_cell_angle_gamma 90.00
loop_
_space_group_symop_operation_xyz
'x,y,z'
'-x,-y,-z'
'-x,y,-z'
'x,-y,z'
'x+1/2,y+1/2,z'
'-x+1/2,-y+1/2,-z'
'-x+1/2,y+1/2,-z'
'x+1/2,-y+1/2,z'
loop_
_atom_site_label
_atom_site_type_symbol
_atom_site_fract_x
_atom_site_fract_y
_atom_site_fract_z
_atom_site_occupancy
Pm1 Pm 0.000 0.000 0.000 1
Er1 Er 0.000 0.000 0.500 1
Tm1 Tm 0.001 0.500 0.749 1
Tm2 Tm 0.007 0.227 0.252 1
```

Values from the calculation:
The crystal system is monoclinic.



Energy ordering: *i* at the bottom, the next structure 309 meV per atom above.



*i*
First-principles (GGA-PBE) data for crystalline Pm2ErTm at its relaxed geometry, as listed in Alexandria via LeMat-Bulk.

Cell and atoms, written as CIF:
```
data_Pm2ErTm
_space_group_name_H-M_alt 'F m -3 m'
_space_group_IT_number 225
_space_group_name_Hall '-F 4 2 3'
_cell_length_a 8.050
_cell_length_b 8.050
_cell_length_c 8.050
_cell_angle_alpha 90.00
_cell_angle_beta 90.00
_cell_angle_gamma 90.00
loop_
_atom_site_label
_atom_site_type_symbol
_atom_site_fract_x
_atom_site_fract_y
_atom_site_fract_z
_atom_site_occupancy
Pm1 Pm 0.250 0.250 0.250 1
Er1 Er 0.000 0.000 0.000 1
Tm1 Tm 0.000 0.000 0.500 1
```

Values from the calculation:
The crystal system is cubic.



*ii*
First-principles (GGA-PBE) data for crystalline Pm2ErTm at its relaxed geometry, as listed in Alexandria via LeMat-Bulk.

Cell and atoms, written as CIF:
```
data_Pm2ErTm
_space_group_name_H-M_alt 'R -3 m'
_space_group_IT_number 166
_space_group_name_Hall '-R 3 2"'
_cell_length_a 3.5783
_cell_length_b 3.5783
_cell_length_c 34.6972
_cell_angle_alpha 90.00
_cell_angle_beta 90.00
_cell_angle_gamma 120.00
loop_
_atom_site_label
_atom_site_type_symbol
_atom_site_fract_x
_atom_site_fract_y
_atom_site_fract_z
_atom_site_occupancy
Pm1 Pm 0.0000 0.0000 0.2502 1
Er1 Er 0.0000 0.0000 0.5000 1
Tm1 Tm 0.0000 0.0000 0.0000 1
```

Values from the calculation:
The crystal system is trigonal.



Energy ordering: *ii* at the bottom, the next structure 91 meV per atom above.



*i*
First-principles (GGA-PBE) data for crystalline PmEr7Tm2 at its relaxed geometry, as listed in Alexandria via LeMat-Bulk.

Cell and atoms, written as CIF:
```
data_PmEr7Tm2
_space_group_name_H-M_alt 'C m m m'
_space_group_IT_number 65
_space_group_name_Hall '-C 2 2'
_cell_length_a 8.690
_cell_length_b 15.958
_cell_length_c 5.556
_cell_angle_alpha 90.00
_cell_angle_beta 90.00
_cell_angle_gamma 90.00
loop_
_atom_site_label
_atom_site_type_symbol
_atom_site_fract_x
_atom_site_fract_y
_atom_site_fract_z
_atom_site_occupancy
Pm1 Pm 0.000 0.000 0.000 1
Er1 Er 0.000 0.215 0.000 1
Er2 Er 0.000 0.500 0.500 1
Er3 Er 0.177 0.115 0.500 1
Tm1 Tm 0.000 0.297 0.500 1
```

Values from the calculation:
The crystal system is orthorhombic.



*ii*
First-principles (GGA-PBE) data for crystalline PmEr7Tm2 at its relaxed geometry, as listed in Alexandria via LeMat-Bulk.

Cell and atoms, written as CIF:
```
data_PmEr7Tm2
_space_group_name_H-M_alt 'C 1 2/m 1'
_space_group_IT_number 12
_cell_length_a 8.790
_cell_length_b 16.525
_cell_length_c 5.373
_cell_angle_alpha 90.00
_cell_angle_beta 127.62
_cell_angle_gamma 90.00
loop_
_space_group_symop_operation_xyz
'x,y,z'
'-x,-y,-z'
'-x,y,-z'
'x,-y,z'
'x+1/2,y+1/2,z'
'-x+1/2,-y+1/2,-z'
'-x+1/2,y+1/2,-z'
'x+1/2,-y+1/2,z'
loop_
_atom_site_label
_atom_site_type_symbol
_atom_site_fract_x
_atom_site_fract_y
_atom_site_fract_z
_atom_site_occupancy
Pm1 Pm 0.000 0.000 0.000 1
Er1 Er 0.000 0.201 0.000 1
Er2 Er 0.000 0.500 0.500 1
Er3 Er 0.248 0.389 0.248 1
Tm1 Tm 0.000 0.301 0.500 1
```

Values from the calculation:
The crystal system is monoclinic.



Energy ordering: *ii* at the bottom, the next structure 664 meV per atom above.



*i*
First-principles (GGA-PBE) data for crystalline Pm4ErTm4 at its relaxed geometry, as listed in Alexandria via LeMat-Bulk.

Cell and atoms, written as CIF:
```
data_Pm4ErTm4
_space_group_name_H-M_alt 'I 4/m m m'
_space_group_IT_number 139
_space_group_name_Hall '-I 4 2'
_cell_length_a 10.700
_cell_length_b 10.700
_cell_length_c 5.029
_cell_angle_alpha 90.00
_cell_angle_beta 90.00
_cell_angle_gamma 90.00
loop_
_atom_site_label
_atom_site_type_symbol
_atom_site_fract_x
_atom_site_fract_y
_atom_site_fract_z
_atom_site_occupancy
Pm1 Pm 0.000 0.330 0.000 1
Er1 Er 0.000 0.000 0.000 1
Tm1 Tm 0.166 0.166 0.500 1
```

Values from the calculation:
The crystal system is tetragonal.



*ii*
First-principles (GGA-PBE) data for crystalline Pm4ErTm4 at its relaxed geometry, as listed in Alexandria via LeMat-Bulk.

Cell and atoms, written as CIF:
```
data_Pm4ErTm4
_space_group_name_H-M_alt 'C 1 2/m 1'
_space_group_IT_number 12
_cell_length_a 16.839
_cell_length_b 5.566
_cell_length_c 6.763
_cell_angle_alpha 90.00
_cell_angle_beta 113.54
_cell_angle_gamma 90.00
loop_
_space_group_symop_operation_xyz
'x,y,z'
'-x,-y,-z'
'-x,y,-z'
'x,-y,z'
'x+1/2,y+1/2,z'
'-x+1/2,-y+1/2,-z'
'-x+1/2,y+1/2,-z'
'x+1/2,-y+1/2,z'
loop_
_atom_site_label
_atom_site_type_symbol
_atom_site_fract_x
_atom_site_fract_y
_atom_site_fract_z
_atom_site_occupancy
Pm1 Pm 0.133 0.000 0.459 1
Pm2 Pm 0.220 0.500 0.786 1
Er1 Er 0.000 0.500 0.500 1
Tm1 Tm 0.071 0.000 0.873 1
Tm2 Tm 0.121 0.500 0.170 1
```

Values from the calculation:
The crystal system is monoclinic.



Energy ordering: *i* at the bottom, the next structure 83 meV per atom above.